No. 1
# TbTmAlRh

A relaxed structure of TbTmAlRh (GGA-PBE, Alexandria via LeMat-Bulk).

Cell lengths 4.969, 4.969, 4.969 Å; angles 60.00, 60.00, 60.00 degrees
Fractional coordinates of all 4 atoms:
Rh 0.500 0.500 0.500
Tm 0.750 0.750 0.750
Tb 0.250 0.250 0.250
Al 0.000 0.000 0.000

Symmetry = F-43m
Energy of formation = -0.574 eV per atom

=====

No. 2
# SrCaLa3

A relaxed structure of SrCaLa3 (GGA-PBE, Alexandria via LeMat-Bulk).

Cell lengths 6.093, 6.093, 6.093 Å; angles 90.00, 90.00, 90.00 degrees
Fractional coordinates of all 5 atoms:
Sr 0.500 0.500 0.500
Ca 0.000 0.000 0.000
La 0.000 0.500 0.000
La 0.000 0.000 0.500
La 0.500 0.000 0.000

Symmetry = Pm-3m
Energy of formation = 0.588 eV per atom

=====

No. 3
# CaAu

A relaxed structure of CaAu (GGA-PBE, Alexandria via LeMat-Bulk).

Cell lengths 5.117, 5.117, 5.986 Å; angles 90.00, 90.00, 120.00 degrees
Fractional coordinates of all 4 atoms:
Ca 0.333 0.667 0.250
Ca 0.667 0.333 0.750
Au 0.333 0.667 0.750
Au 0.667 0.333 0.250

Symmetry = P6_3/mmc
Energy of formation = -0.496 eV per atom

=====

No. 4
# Tb4TmPu3S8

A relaxed structure of Tb4TmPu3S8 (GGA-PBE, Alexandria via LeMat-Bulk).

Cell lengths 7.836, 7.865, 7.836 Å; angles 119.88, 120.00, 90.00 degrees
Fractional coordinates of all 16 atoms:
Tb 0.500 0.000 0.000
Tb 0.500 0.000 0.500
Tb 0.000 0.000 0.000
Tb 0.000 0.000 0.500
Tm 0.000 0.500 0.000
Pu 0.500 0.500 0.000
Pu 0.500 0.500 0.500
Pu 0.000 0.500 0.500
S 0.247 0.749 0.001
S 0.247 0.749 0.495
S 0.250 0.249 0.499
S 0.754 0.749 0.001
S 0.246 0.251 0.999
S 0.750 0.751 0.501
S 0.753 0.251 0.505
S 0.753 0.251 0.999

Symmetry = R-3m

=====

Per-record D(E_F), states/eV/cell: 2.87; 5.45; 2.23; 22.87
Per-record electronic total energy, Ha/atom: -0.2066; -0.1141; -0.1152; -0.2985